## SrGaMo (PBE)

Data for an optimized crystal structure of SrGaMo.

Results
- Calculated volume: 297 Å³ per cell
- VASP energy: -5.209 eV/atom
- DOS at the Fermi energy: 6.297 states/eV per cell
- Distance to the lowest polymorph of the same formula: 28.6 meV per atom
- DFT formation energy: -0.1 eV/f.u.

Cell and atoms, written as CIF:
```
data_SrGaMo
_cell_length_a 3.907
_cell_length_b 3.907
_cell_length_c 19.454
_cell_angle_alpha 90.00
_cell_angle_beta 90.00
_cell_angle_gamma 90.00
_symmetry_space_group_name_H-M 'I 4/m m m'
_symmetry_Int_Tables_number 139
_symmetry_space_group_name_Hall '-I 4 2'
loop_
_atom_site_label
_atom_site_type_symbol
_atom_site_fract_x
_atom_site_fract_y
_atom_site_fract_z
Sr1 Sr 0.000 0.000 0.167
Ga1 Ga 0.000 0.000 0.404
Mo1 Mo 0.000 0.500 0.000
```